Record 1
# Cs3BaMo2O8 | Alexandria via LeMat-Bulk | PBE+U | relaxed
data_Cs3BaMo2O8
_chemical_formula_sum 'Cs3 Ba1 Mo2 O8'
_cell_length_a 6.6747
_cell_length_b 6.6747
_cell_length_c 8.5704
_cell_angle_alpha 90.00
_cell_angle_beta 90.00
_cell_angle_gamma 120.00
_symmetry_space_group_name_H-M 'P -3 m 1'
_symmetry_Int_Tables_number 164
_symmetry_space_group_name_Hall '-P 3 2"'
loop_
_atom_site_label
_atom_site_type_symbol
_atom_site_fract_x
_atom_site_fract_y
_atom_site_fract_z
Cs1 Cs 0.0000 0.0000 0.0000
Cs2 Cs 0.3333 0.6667 0.6881
Ba1 Ba 0.0000 0.0000 0.5000
Mo1 Mo 0.3333 0.6667 0.2321
O1 O 0.1841 0.3682 0.3089
O2 O 0.3333 0.6667 0.0227
# - Theoretical density: 4.298 g cm⁻³
# - N(E_F): 6.4 states/eV/f.u.
# - Calculated total energy: -6.101 eV per atom

Record 2
# CsBaMoO4 | Alexandria via LeMat-Bulk | PBE+U | relaxed
data_CsBaMoO4
_chemical_formula_sum 'Cs2 Ba2 Mo2 O8'
_cell_length_a 6.846
_cell_length_b 6.448
_cell_length_c 8.173
_cell_angle_alpha 90.00
_cell_angle_beta 102.70
_cell_angle_gamma 90.00
_symmetry_space_group_name_H-M 'P 1 21/m 1'
_symmetry_Int_Tables_number 11
loop_
_symmetry_equiv_pos_as_xyz
'x,y,z'
'-x,-y,-z'
'-x,y+1/2,-z'
'x,-y+1/2,z'
loop_
_atom_site_label
_atom_site_type_symbol
_atom_site_fract_x
_atom_site_fract_y
_atom_site_fract_z
Cs1 Cs 0.204 0.250 0.413
Ba1 Ba 0.303 0.250 0.932
Mo1 Mo 0.216 0.750 0.151
O1 O 0.069 0.750 0.316
O2 O 0.070 0.750 0.934
O3 O 0.403 0.527 0.173
# - Theoretical density: 4.059 g cm⁻³
# - Calculated total energy: -6.254 eV per atom

Question: Number 2 is which compound?
Answer: CsBaMoO4

Question: calculated total energy of number 1 (Cs3BaMo2O8)?
Answer: -6.101 eV per atom